## Pm3PrGa8 (GGA-PBE)

Data for an optimized crystal structure of Pm3PrGa8.

```
Pm3PrGa8
1.0
-1.321 1.391 -5.268
-0.567 -3.992 -3.896
-9.604 -1.600 -0.998
Pm Pr Ga
3 1 8
direct
0.375 0.375 0.874
0.000 0.000 0.001
0.500 0.500 0.501
0.875 0.875 0.375
0.938 0.438 0.186
0.437 0.937 0.689
0.438 0.438 0.186
0.937 0.937 0.689
0.187 0.187 0.438
0.688 0.688 0.937
0.438 0.938 0.186
0.937 0.437 0.689
```

Properties
uncorrected energy: -4.176 eV/atom
E_form: -0.57 eV/atom
space-group type: R3m (160)
crystal system: trigonal
DOS(E_F): 0.71 states/eV per atom

## Pm2PrGa (GGA-PBE)

Data for an optimized crystal structure of Pm2PrGa.

```
Pm2PrGa
1.0
4.387 0.000 0.000
2.193 3.799 0.000
2.193 1.266 7.956
Pm Pr Ga
2 1 1
direct
0.063 0.063 0.812
0.271 0.271 0.187
0.500 0.500 0.500
0.666 0.666 0.001
```

Properties
uncorrected energy: -4.313 eV/atom
E_form: 0.01 eV/atom
space-group type: R3m (160)
crystal system: trigonal
energy relative to the lowest polymorph listed for this composition: 26.5 kJ/mol of atoms
DOS(E_F): 1.12 states/eV per atom

## Pm2PrGa3 (GGA-PBE)

Data for an optimized crystal structure of Pm2PrGa3.

```
Pm2PrGa3
1.0
3.683 0.000 0.000
0.000 3.683 0.000
0.000 0.000 11.087
Pm Pr Ga
2 1 3
direct
0.500 0.500 0.835
0.500 0.500 0.165
0.500 0.500 0.500
0.000 0.000 0.000
0.000 0.000 0.672
0.000 0.000 0.328
```

Properties
uncorrected energy: -4.455 eV/atom
E_form: -0.56 eV/atom
space-group type: P4/mmm (123)
crystal system: tetragonal
energy relative to the lowest polymorph listed for this composition: 0.0 kJ/mol of atoms
DOS(E_F): 0.51 states/eV per atom

## Pm2PrGa3 (GGA-PBE)

Data for an optimized crystal structure of Pm2PrGa3.

```
Pm2PrGa3
1.0
5.210 0.000 0.000
-2.605 4.512 0.000
0.000 0.000 12.813
Pm Pr Ga
4 2 6
direct
0.000 0.000 0.500
0.333 0.667 0.165
0.667 0.333 0.835
0.000 0.000 0.000
0.333 0.667 0.667
0.667 0.333 0.333
0.333 0.667 0.416
0.667 0.333 0.082
0.000 0.000 0.752
0.000 0.000 0.248
0.333 0.667 0.918
0.667 0.333 0.584
```

Properties
uncorrected energy: -4.452 eV/atom
E_form: -0.56 eV/atom
space-group type: P-3m1 (164)
crystal system: trigonal
energy relative to the lowest polymorph listed for this composition: 0.3 kJ/mol of atoms
DOS(E_F): 0.47 states/eV per atom